Entry from Alexandria via LeMat-Bulk: crystalline KBaSe2 at its relaxed geometry (PBE-GGA).

Results
raw formation energy	-24.297	kcal/mol of atoms
density	2.7	Mg/m³
total magnetization	1.00	μB/f.u.
N(E_F)	9.1	states/eV per cell

Cell lengths 9.6645, 9.6645, 9.6645 Å; angles 137.68, 137.68, 61.39 degrees
Fractional positions:
1 K 0.0000 0.0000 0.0000
2 K 0.7500 0.2500 0.5000
3 Ba 0.2500 0.7500 0.5000
4 Ba 0.5000 0.5000 0.0000
5 Se 0.1413 0.6250 0.0163
6 Se 0.3750 0.3913 0.5163
7 Se 0.6087 0.1250 0.9837
8 Se 0.8750 0.8587 0.4837

---

Entry from Alexandria via LeMat-Bulk: crystalline HfFeSb2 at its relaxed geometry (PBE-GGA).

Results
energy above the most stable polymorph in this dataset	46	meV per atom
raw formation energy	6.746	kcal/mol of atoms
density	8.7	Mg/m³
total magnetization	2.55	μB/f.u.
N(E_F)	4.8	states/eV per cell

Cell lengths 9.9541, 9.9541, 9.9541 Å; angles 18.93, 18.93, 18.93 degrees
Fractional positions:
1 Hf 0.0000 0.0000 0.0000
2 Fe 0.5000 0.5000 0.5000
3 Sb 0.4126 0.4126 0.4126
4 Sb 0.5874 0.5874 0.5874

---

Entry from Alexandria via LeMat-Bulk: crystalline Pr2Ga3Pd at its relaxed geometry (PBE-GGA).

Results
density	7.5	Mg/m³
total magnetization	0.00	μB/f.u.
N(E_F)	4.3	states/eV per cell
raw total energy	-4.704	eV/atom

Cell lengths 5.7759, 5.7759, 7.5210 Å; angles 129.01, 129.01, 46.47 degrees
Fractional positions:
1 Pr 0.0000 0.0000 0.0000
2 Pr 0.0896 0.0896 0.5970
3 Ga 0.3809 0.3809 0.1939
4 Ga 0.3883 0.3883 0.5915
5 Ga 0.7089 0.7089 0.3987
6 Pd 0.7123 0.7123 0.0206